[1]
Density functional theory data (PBE-GGA) for a geometry-optimized Hf5Pb3S12 structure.

Calculated values
DOS at the Fermi energy = 0.52 states/eV/atom
ΔE_f (raw) = -1071 meV/atom

a = 13.819 Å, b = 13.819 Å, c = 13.819 Å
α = 109.47°, β = 109.47°, γ = 109.47°
Element x y z (fractional)
Hf  0.000  0.000  0.000
Hf  0.000  0.000  0.500
Hf  0.000  0.500  0.000
Hf  0.000  0.500  0.500
Hf  0.125  0.750  0.875
Hf  0.125  0.875  0.250
Hf  0.250  0.125  0.875
Hf  0.250  0.625  0.375
Hf  0.375  0.250  0.625
Hf  0.375  0.625  0.750
Hf  0.500  0.000  0.000
Hf  0.500  0.000  0.500
Hf  0.500  0.500  0.000
Hf  0.500  0.500  0.500
Hf  0.625  0.375  0.250
Hf  0.625  0.750  0.375
Hf  0.750  0.375  0.625
Hf  0.750  0.875  0.125
Hf  0.875  0.125  0.750
Hf  0.875  0.250  0.125
Pb  0.125  0.250  0.375
Pb  0.125  0.375  0.750
Pb  0.250  0.375  0.125
Pb  0.250  0.875  0.625
Pb  0.375  0.125  0.250
Pb  0.375  0.750  0.125
Pb  0.625  0.250  0.875
Pb  0.625  0.875  0.750
Pb  0.750  0.125  0.375
Pb  0.750  0.625  0.875
Pb  0.875  0.625  0.250
Pb  0.875  0.750  0.625
S  0.026  0.204  0.118
S  0.026  0.322  0.909
S  0.086  0.704  0.678
S  0.086  0.882  0.409
S  0.091  0.618  0.414
S  0.091  0.974  0.678
S  0.118  0.026  0.204
S  0.118  0.591  0.914
S  0.178  0.204  0.586
S  0.178  0.474  0.591
S  0.204  0.118  0.026
S  0.204  0.586  0.178
S  0.296  0.322  0.914
S  0.296  0.474  0.382
S  0.322  0.909  0.026
S  0.322  0.914  0.296
S  0.382  0.296  0.474
S  0.382  0.586  0.909
S  0.409  0.086  0.882
S  0.409  0.822  0.526
S  0.414  0.091  0.618
S  0.414  0.822  0.796
S  0.474  0.382  0.296
S  0.474  0.591  0.178
S  0.526  0.409  0.822
S  0.526  0.618  0.704
S  0.586  0.178  0.204
S  0.586  0.909  0.382
S  0.591  0.178  0.474
S  0.591  0.914  0.118
S  0.618  0.414  0.091
S  0.618  0.704  0.526
S  0.678  0.086  0.704
S  0.678  0.091  0.974
S  0.704  0.526  0.618
S  0.704  0.678  0.086
S  0.796  0.414  0.822
S  0.796  0.882  0.974
S  0.822  0.526  0.409
S  0.822  0.796  0.414
S  0.882  0.409  0.086
S  0.882  0.974  0.796
S  0.909  0.026  0.322
S  0.909  0.382  0.586
S  0.914  0.118  0.591
S  0.914  0.296  0.322
S  0.974  0.678  0.091
S  0.974  0.796  0.882

[2]
Density functional theory data (PBE-GGA) for a geometry-optimized Cs2BaCrS4 structure.

Calculated values
ΔE_f (raw) = -1009 meV/atom

a = 16.217 Å, b = 15.046 Å, c = 7.879 Å
α = 83.83°, β = 67.28°, γ = 28.89°
Element x y z (fractional)
Cs  0.067  0.067  0.683
Cs  0.317  0.317  0.933
Cs  0.683  0.683  0.067
Cs  0.933  0.933  0.317
Ba  0.125  0.125  0.125
Ba  0.875  0.875  0.875
Cr  0.375  0.375  0.375
Cr  0.625  0.625  0.625
S  0.066  0.599  0.493
S  0.342  0.493  0.599
S  0.401  0.934  0.658
S  0.493  0.342  0.066
S  0.507  0.658  0.934
S  0.599  0.066  0.342
S  0.658  0.507  0.401
S  0.934  0.401  0.507

[3]
Density functional theory data (PBE-GGA) for a geometry-optimized Y3CrRu structure.

Calculated values
ΔE to the lowest computed polymorph = 0.0 meV/atom
ΔE_f = 717 meV/atom
DOS at the Fermi energy = 2.64 states/eV/atom

a = 5.261 Å, b = 5.261 Å, c = 5.261 Å
α = 90.00°, β = 90.00°, γ = 90.00°
Element x y z (fractional)
Y  0.000  0.000  0.500
Y  0.000  0.500  0.000
Y  0.500  0.000  0.000
Cr  0.500  0.500  0.500
Ru  0.000  0.000  0.000

[4]
Density functional theory data (PBE-GGA) for a geometry-optimized Zn2InFe structure.

Calculated values
ΔE_f = 162 meV/atom
DOS at the Fermi energy = 0.55 states/eV/atom

a = 3.938 Å, b = 3.938 Å, c = 4.036 Å
α = 90.00°, β = 90.00°, γ = 90.00°
Element x y z (fractional)
Zn  0.000  0.500  0.000
Zn  0.500  0.000  0.000
In  0.000  0.000  0.500
Fe  0.500  0.500  0.500

[5]
Density functional theory data (PBE-GGA) for a geometry-optimized LiNdLuSc structure.

Calculated values
ΔE_f = 156 meV/atom
DOS at the Fermi energy = 1.05 states/eV/atom

a = 5.364 Å, b = 5.364 Å, c = 5.364 Å
α = 60.00°, β = 60.00°, γ = 60.00°
Element x y z (fractional)
Li  0.000  0.000  0.000
Nd  0.250  0.250  0.250
Lu  0.750  0.750  0.750
Sc  0.500  0.500  0.500

[6]
Density functional theory data (PBE-GGA) for a geometry-optimized ZnCo2W structure.

Calculated values
ΔE_f = 16 meV/atom
DOS at the Fermi energy = 0.62 states/eV/atom

a = 2.713 Å, b = 3.384 Å, c = 5.491 Å
α = 90.00°, β = 90.00°, γ = 90.00°
Element x y z (fractional)
Zn  0.000  0.000  0.000
Co  0.500  0.500  0.251
Co  0.500  0.500  0.749
W  0.000  0.000  0.500